HfMnBe: relaxed, GGA-PBE. Values from VASP.

Quantum ESPRESSO input file:
```
&SYSTEM
  ibrav = 0, nat = 6, ntyp = 3
/
ATOMIC_SPECIES
Hf 178.49 Hf.upf
Mn 54.94 Mn.upf
Be 9.01 Be.upf
CELL_PARAMETERS angstrom
4.157 0.000 2.334
1.462 3.998 2.266
0.027 0.074 4.822
ATOMIC_POSITIONS angstrom
Hf 4.215 1.498 4.667
Hf 1.431 2.574 4.755
Mn 0.000 0.000 0.000
Mn 2.079 0.000 1.167
Be 2.810 1.999 2.300
Be 2.092 0.037 3.578
```

Summary:
density of states at the Fermi level	4.233	states/eV/cell
DFT formation energy	-19	kJ/mol of atoms
size of the total moment	0.0	μB/f.u.

---

La2ScCr: relaxed, GGA-PBE. Values from VASP.

Quantum ESPRESSO input file:
```
&SYSTEM
  ibrav = 0, nat = 4, ntyp = 3
/
ATOMIC_SPECIES
Sc 44.96 Sc.upf
Cr 52.00 Cr.upf
La 138.91 La.upf
CELL_PARAMETERS angstrom
-2.498 1.755 4.250
-0.478 5.147 0.816
-4.675 2.302 -0.477
ATOMIC_POSITIONS angstrom
Sc 0.000 0.000 0.000
Cr -3.826 4.601 2.294
La -1.913 2.301 1.147
La -5.738 6.902 3.441
```

Summary:
density of states at the Fermi level	9.532	states/eV/cell
DFT formation energy	53	kJ/mol of atoms
size of the total moment	0.0	μB/f.u.

---

Zn12Pb2Au7: relaxed, GGA-PBE. Values from VASP.

Quantum ESPRESSO input file:
```
&SYSTEM
  ibrav = 0, nat = 21, ntyp = 3
/
ATOMIC_SPECIES
Zn 65.41 Zn.upf
Pb 207.20 Pb.upf
Au 196.97 Au.upf
CELL_PARAMETERS angstrom
-2.371 -2.862 0.665
4.394 -5.563 -8.272
4.081 -1.048 10.045
ATOMIC_POSITIONS angstrom
Zn 5.360 -7.166 -1.008
Zn 2.262 -5.443 -4.640
Zn 1.690 -3.856 0.147
Zn 3.275 -3.750 6.260
Zn 4.202 -5.224 3.224
Zn 1.521 -2.977 3.332
Zn 2.485 -0.878 5.082
Zn 6.041 -3.752 5.395
Zn 4.030 -3.028 1.341
Zn 6.483 -5.232 0.603
Zn 4.831 -5.311 -5.629
Zn 1.554 -1.630 -1.472
Pb -1.186 -1.431 0.332
Pb 4.289 -4.058 -2.166
Au 4.185 -2.553 3.940
Au 3.688 -1.331 7.423
Au 6.907 -4.982 3.189
Au 1.961 -1.345 1.207
Au 3.842 -5.549 0.540
Au 4.283 -6.862 -3.538
Au 1.186 -4.055 -2.502
```

Summary:
density of states at the Fermi level	4.029	states/eV/cell
DFT formation energy	-14	kJ/mol of atoms
size of the total moment	0.0	μB/f.u.

---

AgPd4Au8: relaxed, GGA-PBE. Values from VASP.

Quantum ESPRESSO input file:
```
&SYSTEM
  ibrav = 0, nat = 13, ntyp = 3
/
ATOMIC_SPECIES
Ag 107.87 Ag.upf
Pd 106.42 Pd.upf
Au 196.97 Au.upf
CELL_PARAMETERS angstrom
-0.628 0.158 4.073
12.249 2.944 3.862
0.591 4.530 2.004
ATOMIC_POSITIONS angstrom
Ag 12.265 7.486 7.864
Pd 5.681 5.168 4.852
Pd 9.766 4.335 7.601
Pd 1.925 3.163 2.262
Pd 6.011 2.332 5.012
Au 4.766 3.477 2.688
Au 2.848 4.834 4.428
Au 8.844 2.665 5.436
Au 6.926 4.023 7.176
Au 3.215 1.970 4.595
Au 11.336 5.830 5.697
Au 8.476 5.529 5.268
Au 0.355 1.667 4.166
```

Summary:
density of states at the Fermi level	4.268	states/eV/cell
DFT formation energy	-8	kJ/mol of atoms
size of the total moment	0.0	μB/f.u.

---

RbFeTe2: relaxed, GGA-PBE. Values from VASP.

Quantum ESPRESSO input file:
```
&SYSTEM
  ibrav = 0, nat = 4, ntyp = 3
/
ATOMIC_SPECIES
Te 127.60 Te.upf
Fe 55.84 Fe.upf
Rb 85.47 Rb.upf
CELL_PARAMETERS angstrom
4.423 -2.495 -1.387
0.323 -5.234 0.457
0.078 -3.019 -4.311
ATOMIC_POSITIONS angstrom
Te 1.206 -2.687 -1.310
Te 3.618 -8.061 -3.931
Fe 0.000 0.000 0.000
Rb 2.412 -5.374 -2.620
```

Summary:
density of states at the Fermi level	4.615	states/eV/cell
size of the total moment	0.0	μB/f.u.
energy	-3.303	eV/atom

---

Pr4Se2S3: relaxed, GGA-PBE. Values from VASP.

Quantum ESPRESSO input file:
```
&SYSTEM
  ibrav = 0, nat = 18, ntyp = 3
/
ATOMIC_SPECIES
Pr 140.91 Pr.upf
Se 78.96 Se.upf
S 32.06 S.upf
CELL_PARAMETERS angstrom
7.956 -0.616 0.000
-3.218 7.560 0.000
0.000 0.000 7.679
ATOMIC_POSITIONS angstrom
Pr 6.297 0.219 4.181
Pr 2.418 6.417 0.341
Pr -1.560 6.725 3.498
Pr 2.319 0.527 7.337
Pr 4.964 3.441 1.140
Pr 3.752 3.195 4.979
Pr -0.226 3.503 6.539
Pr 0.986 3.749 2.700
Se 3.922 0.947 2.397
Se 4.793 5.689 6.236
Se 0.815 5.997 5.282
Se -0.056 1.255 1.443
S -1.609 3.780 3.839
S 2.369 3.472 0.000
S 5.187 1.419 6.697
S 3.528 5.218 2.857
S -0.450 5.526 0.982
S 1.210 1.727 4.821
```

Summary:
density of states at the Fermi level	7.156	states/eV/cell
size of the total moment	0.0	μB/f.u.
energy	-6.203	eV/atom

---

SmEr2Co2: relaxed, GGA-PBE. Values from VASP.

Quantum ESPRESSO input file:
```
&SYSTEM
  ibrav = 0, nat = 5, ntyp = 3
/
ATOMIC_SPECIES
Sm 150.36 Sm.upf
Er 167.26 Er.upf
Co 58.93 Co.upf
CELL_PARAMETERS angstrom
-0.799 -0.605 3.766
0.341 -3.828 -0.543
7.012 2.329 1.863
ATOMIC_POSITIONS angstrom
Sm 0.000 0.000 0.000
Er 1.976 -2.089 2.100
Er 4.579 -0.015 2.986
Co 2.924 0.169 0.648
Co 4.430 -1.668 0.672
```

Summary:
density of states at the Fermi level	6.199	states/eV/cell
DFT formation energy	-15	kJ/mol of atoms
size of the total moment	0.2	μB/f.u.

---

BC2: relaxed, GGA-PBE. Values from VASP.

Quantum ESPRESSO input file:
```
&SYSTEM
  ibrav = 0, nat = 12, ntyp = 2
/
ATOMIC_SPECIES
B 10.81 B.upf
C 12.01 C.upf
CELL_PARAMETERS angstrom
2.602 0.000 0.000
0.000 3.769 -0.004
0.000 -0.006 7.898
ATOMIC_POSITIONS angstrom
B 1.301 1.702 1.564
B 1.301 2.978 7.664
B 1.301 1.844 3.930
B 0.000 0.030 2.641
C 0.000 0.933 1.201
C 0.000 0.084 7.858
C 0.000 0.863 4.052
C 1.301 2.791 2.644
C 1.301 1.857 6.528
C 0.000 0.982 6.556
C 0.000 3.752 5.274
C 1.301 2.872 5.352
```

Summary:
density of states at the Fermi level	2.094	states/eV/cell
DFT formation energy	30	kJ/mol of atoms
size of the total moment	0.0	μB/f.u.

---

Among the records above, which one has the highest size of the total moment? SmEr2Co2